Here is a relaxed BeNbPCl2 crystal from the Alexandria database. Energies are from PBE-GGA.

Computed properties:
Formation energy from raw total energies   0.13 eV/atom
E_tot   -4.45 eV/atom
SG   P4/mmm (123)
Energy above the lowest structure with this stoichiometry   0 meV per atom

The structure in POSCAR format:
```
BeNbPCl2
1.0
3.943 0.000 0.000
0.000 3.943 0.000
0.000 0.000 7.801
P Nb Be Cl
1 1 1 2
Direct
0.000 0.000 0.500
0.500 0.500 0.500
0.000 0.000 0.000
0.000 0.500 0.000
0.500 0.000 0.000
```



Here is a relaxed BeNbPCl2 crystal from the Alexandria database. Energies are from PBE-GGA.

Computed properties:
Formation energy from raw total energies   0.26 eV/atom
E_tot   -4.32 eV/atom
SG   P4/mmm (123)
Energy above the lowest structure with this stoichiometry   135 meV per atom

The structure in POSCAR format:
```
BeNbPCl2
1.0
4.832 0.000 0.000
0.000 4.832 0.000
0.000 0.000 4.986
P Nb Be Cl
1 1 1 2
Direct
0.000 0.000 0.500
0.000 0.000 0.000
0.500 0.500 0.500
0.000 0.500 0.000
0.500 0.000 0.000
```



Here is a relaxed BeNbS2Cl crystal from the Alexandria database. Energies are from PBE-GGA.

Computed properties:
Formation energy from raw total energies   0.05 eV/atom
E_tot   -4.73 eV/atom
SG   P4/mmm (123)
Energy above the lowest structure with this stoichiometry   0 meV per atom

The structure in POSCAR format:
```
BeNbS2Cl
1.0
-0.198 -4.269 -1.236
4.434 -0.273 0.232
-0.280 -1.143 3.993
Be Nb S Cl
1 1 2 1
Direct
0.000 0.000 0.000
0.500 0.500 0.500
0.000 0.500 0.000
0.500 0.000 0.000
0.000 0.000 0.500
```



Here is a relaxed BeNbS2Cl crystal from the Alexandria database. Energies are from PBE-GGA.

Computed properties:
Formation energy from raw total energies   0.10 eV/atom
E_tot   -4.68 eV/atom
SG   P4/mmm (123)
Energy above the lowest structure with this stoichiometry   47 meV per atom

The structure in POSCAR format:
```
BeNbS2Cl
1.0
4.809 0.000 0.000
0.000 4.809 0.000
0.000 0.000 4.908
Be Nb S Cl
1 1 2 1
Direct
0.500 0.500 0.500
0.000 0.000 0.000
0.000 0.500 0.000
0.500 0.000 0.000
0.000 0.000 0.500
```



Here is a relaxed BeNb2SeCl crystal from the Alexandria database. Energies are from PBE-GGA.

Computed properties:
Formation energy from raw total energies   1.30 eV/atom
E_tot   -4.54 eV/atom
SG   P4/mmm (123)

The structure in POSCAR format:
```
BeNb2SeCl
1.0
-0.639 -3.915 2.663
-1.530 -2.733 -4.386
4.537 -1.276 -0.787
Be Nb Se Cl
1 2 1 1
Direct
0.500 0.500 0.500
0.000 0.000 0.500
0.500 0.000 0.000
0.000 0.000 0.000
0.000 0.500 0.000
```



Here is a relaxed BeNbW2Cl crystal from the Alexandria database. Energies are from PBE-GGA.

Computed properties:
Formation energy from raw total energies   1.28 eV/atom
E_tot   -7.03 eV/atom
SG   P4/mmm (123)

The structure in POSCAR format:
```
BeNbW2Cl
1.0
-1.259 2.358 3.731
-3.153 1.026 -1.713
-2.108 -3.730 1.646
Be Nb W Cl
1 1 2 1
Direct
0.000 0.500 0.000
0.500 0.500 0.500
0.000 0.000 0.500
0.500 0.000 0.000
0.000 0.000 0.000
```



Here is a relaxed Nd2BeCl crystal from the Alexandria database. Energies are from PBE-GGA.

Computed properties:
Formation energy from raw total energies   -0.61 eV/atom
E_tot   -4.39 eV/atom
SG   R-3m (166)

The structure in POSCAR format:
```
Nd2BeCl
1.0
4.015 0.000 0.000
2.008 3.477 0.000
2.008 1.159 7.258
Be Nd Cl
1 2 1
Direct
0.000 0.000 0.000
0.256 0.256 0.233
0.744 0.744 0.767
0.500 0.500 0.500
```



Here is a relaxed Nd3BeCl3 crystal from the Alexandria database. Energies are from PBE-GGA.

Computed properties:
Formation energy from raw total energies   -1.29 eV/atom
E_tot   -4.66 eV/atom
SG   I4_132 (214)

The structure in POSCAR format:
```
Nd3BeCl3
1.0
9.432 0.000 -3.335
-4.716 8.168 -3.335
0.000 0.000 10.004
Nd Be Cl
12 4 12
Direct
0.987 0.494 0.244
0.506 0.013 0.256
0.250 0.006 0.494
0.994 0.750 0.006
0.994 0.244 0.487
0.756 0.006 0.013
0.744 0.487 0.494
0.756 0.750 0.244
0.513 0.256 0.006
0.250 0.244 0.256
0.744 0.256 0.750
0.506 0.494 0.750
0.750 0.500 0.000
0.500 0.250 0.500
0.750 0.250 0.250
0.000 0.000 0.250
0.245 0.995 0.991
0.750 0.755 0.745
0.491 0.745 0.995
0.005 0.250 0.995
0.255 0.745 0.250
0.495 0.505 0.250
0.245 0.250 0.755
0.255 0.509 0.505
0.750 0.995 0.505
0.009 0.505 0.755
0.005 0.755 0.509
0.495 0.991 0.745
```